Entry 1:
{"formula": "KTcP2Cl", "functional": "GGA-PBEsol", "state": "optimized geometry", "total_magnetization_mub_per_atom": 0.705, "final_energy_ev_per_atom": -3.18, "lattice_angstrom": [[-3.784, -3.265, 1.152], [3.378, -3.092, 2.333], [-0.791, 2.480, 4.432]], "species": ["P", "Tc", "K", "P", "Cl"], "fractional_positions": [[0.000, 0.500, 0.000], [0.500, 0.500, 0.500], [0.000, 0.000, 0.000], [0.000, 0.000, 0.500], [0.500, 0.000, 0.000]]}

---

Entry 2:
{"formula": "ZnCdCo", "functional": "GGA-PBEsol", "state": "optimized geometry", "total_magnetization_mub_per_atom": 0.315, "polymorph_energy_kj_per_mol_fu": 0.0, "lattice_angstrom": [[2.721, 0.000, 0.000], [0.000, 4.265, 0.000], [0.000, -2.132, 3.693]], "species": ["Co", "Zn", "Cd"], "fractional_positions": [[0.539, 0.667, 0.333], [0.451, 0.333, 0.667], [0.010, 0.000, 0.000]]}